Density functional theory data (PBE) for crystalline GeTe2F at its relaxed geometry.

a b c (Å): 7.5901 7.5901 6.2462
angles (deg): 52.59 52.59 90.00
Positions (direct):
Ge 0.7500 0.2500 0.5000
Ge 0.0000 0.0000 0.0000
Te 0.8750 0.8801 0.7500
Te 0.1199 0.6250 0.2500
Te 0.3750 0.3699 0.7500
Te 0.6301 0.1250 0.2500
F 0.2500 0.7500 0.5000
F 0.5000 0.5000 0.0000

- ρ (g/cm³) = 6.26
- distance to the lowest polymorph of the same formula (meV per atom) = 29
- calculated total energy (eV per cell) = -28.3
- spin magnetization (Bohr magnetons per cell) = 0.0